Ca2ZrSc | PBE | relaxed

ρ (g/cm³): 2.98
Energy relative to the elements (eV per atom): 0.39
E_tot (eV/atom): -4.331
D(E_F) (states/eV per atom): 1.544

Unit cell a=4.7807 b=4.7807 c=5.2681 alpha=90.00 beta=90.00 gamma=90.00
Space group P4/mmm (No. 123)
One atom of each set of equivalent atoms:
Ca1 0.0000 0.5000 0.0000 (multiplicity 2)
Zr1 0.0000 0.0000 0.5000 (multiplicity 1)
Sc1 0.5000 0.5000 0.5000 (multiplicity 1)

---

CaZr2Sc | PBE | relaxed

ρ (g/cm³): 4.19
Energy relative to the elements (eV per atom): 0.70
E_tot (eV/atom): -5.657
D(E_F) (states/eV per atom): 1.664

Unit cell a=8.3061 b=8.3061 c=6.1396 alpha=90.00 beta=90.00 gamma=90.00
Space group I-42d (No. 122)
One atom of each set of equivalent atoms:
Ca1 0.0000 0.0000 0.0000 (multiplicity 4)
Zr1 0.2391 0.2500 0.6250 (multiplicity 8)
Sc1 0.0000 0.0000 0.5000 (multiplicity 4)

---

CaZr2Sc | PBE | relaxed

ρ (g/cm³): 4.25
Energy relative to the elements (eV per atom): 0.34
E_tot (eV/atom): -6.022
D(E_F) (states/eV per atom): 1.370

Unit cell a=7.4789 b=7.4789 c=7.4789 alpha=90.00 beta=90.00 gamma=90.00
Space group F-43m (No. 216)
One atom of each set of equivalent atoms:
Ca1 0.0000 0.0000 0.0000 (multiplicity 4)
Zr1 0.0000 0.0000 0.5000 (multiplicity 4)
Zr2 0.2500 0.2500 0.2500 (multiplicity 4)
Sc1 0.2500 0.2500 0.7500 (multiplicity 4)